## AcGaCuAu3 (PBE)

Data for AcGaCuAu3 after structural relaxation.

## Properties
**Density of states at the Fermi level**: 6.25 states/eV/cell
**Space group**: Cmcm, No. 63
**DFT total energy**: -3.8935 eV/atom
**Energy of formation from the pure elements**: -2.3 eV per formula unit

a b c (Å): 6.931 6.931 6.510
angles (deg): 90.00 90.00 121.70
Atoms (fractional coordinates):
Ac 0.212 0.788 0.750
Ac 0.788 0.212 0.250
Ga 0.117 0.883 0.250
Ga 0.883 0.117 0.750
Cu 0.458 0.542 0.750
Cu 0.542 0.458 0.250
Au 0.221 0.221 0.000
Au 0.221 0.221 0.500
Au 0.326 0.674 0.250
Au 0.674 0.326 0.750
Au 0.779 0.779 0.000
Au 0.779 0.779 0.500

---

## AcGa4Cu2Au (PBE)

Data for AcGa4Cu2Au after structural relaxation.

## Properties
**Density of states at the Fermi level**: 3.56 states/eV/cell
**Space group**: R-3m, No. 166
**DFT total energy**: -3.7304 eV/atom
**Energy of formation from the pure elements**: -2.2 eV per formula unit

a b c (Å): 9.994 9.994 9.994
angles (deg): 24.79 24.79 24.79
Atoms (fractional coordinates):
Ac 0.000 0.000 0.000
Ga 0.123 0.123 0.123
Ga 0.405 0.405 0.405
Ga 0.595 0.595 0.595
Ga 0.877 0.877 0.877
Cu 0.245 0.245 0.245
Cu 0.755 0.755 0.755
Au 0.500 0.500 0.500

---

## AcGaCuAu (PBE)

Data for AcGaCuAu after structural relaxation.

## Properties
**Density of states at the Fermi level**: 4.42 states/eV/cell
**Space group**: F-43m, No. 216
**DFT total energy**: -3.9433 eV/atom
**Energy of formation from the pure elements**: -1.3 eV per formula unit

a b c (Å): 5.069 5.069 5.069
angles (deg): 60.00 60.00 60.00
Atoms (fractional coordinates):
Ac 0.000 0.000 0.000
Ga 0.500 0.500 0.500
Cu 0.250 0.250 0.250
Au 0.750 0.750 0.750

---

## AcGa2CuAu (PBE)

Data for AcGa2CuAu after structural relaxation.

## Properties
**Density of states at the Fermi level**: 3.86 states/eV/cell
**Space group**: I-4m2, No. 119
**DFT total energy**: -4.0212 eV/atom
**Energy of formation from the pure elements**: -2.6 eV per formula unit

a b c (Å): 6.052 6.052 6.052
angles (deg): 135.76 135.76 64.36
Atoms (fractional coordinates):
Ac 0.000 0.000 0.000
Ga 0.374 0.374 0.000
Ga 0.626 0.626 0.000
Cu 0.250 0.750 0.500
Au 0.750 0.250 0.500

---

## AcGa2CuAu5 (PBE)

Data for AcGa2CuAu5 after structural relaxation.

## Properties
**Density of states at the Fermi level**: 1.99 states/eV/cell
**Space group**: P4/mmm, No. 123
**DFT total energy**: -3.6506 eV/atom
**Energy of formation from the pure elements**: -2.2 eV per formula unit

a b c (Å): 5.109 5.109 7.401
angles (deg): 90.00 90.00 90.00
Atoms (fractional coordinates):
Ac 0.000 0.000 0.000
Ga 0.500 0.500 0.337
Ga 0.500 0.500 0.663
Cu 0.000 0.000 0.500
Au 0.000 0.500 0.299
Au 0.000 0.500 0.701
Au 0.500 0.000 0.299
Au 0.500 0.000 0.701
Au 0.500 0.500 0.000

---

## Ac2Ga3Cu4Au (PBE)

Data for Ac2Ga3Cu4Au after structural relaxation.

## Properties
**Density of states at the Fermi level**: 7.52 states/eV/cell
**Space group**: P-4m2, No. 115
**DFT total energy**: -4.0864 eV/atom
**Energy of formation from the pure elements**: -3.9 eV per formula unit

a b c (Å): 4.434 4.434 10.236
angles (deg): 90.00 90.00 90.00
Atoms (fractional coordinates):
Ac 0.000 0.500 0.247
Ac 0.500 0.000 0.753
Ga 0.000 0.500 0.882
Ga 0.500 0.000 0.118
Ga 0.500 0.500 0.500
Cu 0.000 0.000 0.000
Cu 0.000 0.500 0.637
Cu 0.500 0.000 0.363
Cu 0.500 0.500 0.000
Au 0.000 0.000 0.500

---

## Ac2CuGe4Au3 (PBE)

Data for Ac2CuGe4Au3 after structural relaxation.

## Properties
**Density of states at the Fermi level**: 3.53 states/eV/cell
**Space group**: P-4m2, No. 115
**DFT total energy**: -4.6357 eV/atom
**Energy of formation from the pure elements**: -5.7 eV per formula unit

a b c (Å): 4.529 4.529 10.687
angles (deg): 90.00 90.00 90.00
Atoms (fractional coordinates):
Ac 0.000 0.500 0.243
Ac 0.500 0.000 0.757
Cu 0.500 0.500 0.000
Ge 0.000 0.000 0.500
Ge 0.000 0.500 0.875
Ge 0.500 0.000 0.125
Ge 0.500 0.500 0.500
Au 0.000 0.000 0.000
Au 0.000 0.500 0.633
Au 0.500 0.000 0.367

---

## Ac2CuGeAu6 (PBE)

Data for Ac2CuGeAu6 after structural relaxation.

## Properties
**Density of states at the Fermi level**: 4.71 states/eV/cell
**Space group**: C2/m, No. 12
**DFT total energy**: -4.1270 eV/atom
**Energy of formation from the pure elements**: -4.7 eV per formula unit

a b c (Å): 7.017 7.017 9.069
angles (deg): 128.93 128.93 46.92
Atoms (fractional coordinates):
Ac 0.248 0.248 0.217
Ac 0.752 0.752 0.783
Cu 0.500 0.500 0.000
Ge 0.000 0.000 0.500
Au 0.236 0.736 0.232
Au 0.256 0.256 0.608
Au 0.264 0.764 0.768
Au 0.736 0.236 0.232
Au 0.744 0.744 0.392
Au 0.764 0.264 0.768

---

## AcCuGeAu (PBE)

Data for AcCuGeAu after structural relaxation.

## Properties
**Density of states at the Fermi level**: 1.75 states/eV/cell
**Space group**: F-43m, No. 216
**DFT total energy**: -4.3183 eV/atom
**Energy of formation from the pure elements**: -1.2 eV per formula unit

a b c (Å): 5.051 5.051 5.051
angles (deg): 60.00 60.00 60.00
Atoms (fractional coordinates):
Ac 0.000 0.000 0.000
Cu 0.750 0.750 0.750
Ge 0.500 0.500 0.500
Au 0.250 0.250 0.250

---

## Ac2Cu3Ge4Au (PBE)

Data for Ac2Cu3Ge4Au after structural relaxation.

## Properties
**Density of states at the Fermi level**: 3.26 states/eV/cell
**Space group**: P-4m2, No. 115
**DFT total energy**: -4.7417 eV/atom
**Energy of formation from the pure elements**: -5.2 eV per formula unit

a b c (Å): 4.433 4.433 10.288
angles (deg): 90.00 90.00 90.00
Atoms (fractional coordinates):
Ac 0.000 0.500 0.246
Ac 0.500 0.000 0.754
Cu 0.000 0.500 0.879
Cu 0.500 0.000 0.121
Cu 0.500 0.500 0.500
Ge 0.000 0.000 0.000
Ge 0.000 0.500 0.637
Ge 0.500 0.000 0.363
Ge 0.500 0.500 0.000
Au 0.000 0.000 0.500

---

## AcCuHgAu (PBE)

Data for AcCuHgAu after structural relaxation.

## Properties
**Density of states at the Fermi level**: 3.94 states/eV/cell
**Space group**: F-43m, No. 216
**DFT total energy**: -3.2584 eV/atom
**Energy of formation from the pure elements**: -1.2 eV per formula unit

a b c (Å): 5.146 5.146 5.146
angles (deg): 60.00 60.00 60.00
Atoms (fractional coordinates):
Ac 0.000 0.000 0.000
Cu 0.750 0.750 0.750
Hg 0.500 0.500 0.500
Au 0.250 0.250 0.250

---

## Ac2InCuAu6 (PBE)

Data for Ac2InCuAu6 after structural relaxation.

## Properties
**Density of states at the Fermi level**: 5.07 states/eV/cell
**Space group**: P-1, No. 2
**DFT total energy**: -3.9358 eV/atom
**Energy of formation from the pure elements**: -4.6 eV per formula unit

a b c (Å): 5.528 6.998 7.496
angles (deg): 79.77 68.38 66.86
Atoms (fractional coordinates):
Ac 0.234 0.237 0.294
Ac 0.766 0.763 0.706
In 0.000 0.000 0.000
Cu 0.500 0.500 0.500
Au 0.228 0.761 0.283
Au 0.261 0.580 0.898
Au 0.273 0.238 0.717
Au 0.727 0.762 0.283
Au 0.739 0.420 0.102
Au 0.772 0.239 0.717

---

## Ac2In4Cu3Au (PBE)

Data for Ac2In4Cu3Au after structural relaxation.

## Properties
**Density of states at the Fermi level**: 6.15 states/eV/cell
**Space group**: P-4m2, No. 115
**DFT total energy**: -3.8181 eV/atom
**Energy of formation from the pure elements**: -3.4 eV per formula unit

a b c (Å): 4.692 4.692 10.827
angles (deg): 90.00 90.00 90.00
Atoms (fractional coordinates):
Ac 0.000 0.500 0.240
Ac 0.500 0.000 0.760
In 0.000 0.000 0.500
In 0.000 0.500 0.867
In 0.500 0.000 0.133
In 0.500 0.500 0.500
Cu 0.000 0.000 0.000
Cu 0.000 0.500 0.627
Cu 0.500 0.000 0.373
Au 0.500 0.500 0.000

---

## Ac2In4CuAu3 (PBE)

Data for Ac2In4CuAu3 after structural relaxation.

## Properties
**Density of states at the Fermi level**: 6.31 states/eV/cell
**Space group**: P-4m2, No. 115
**DFT total energy**: -3.8138 eV/atom
**Energy of formation from the pure elements**: -5.0 eV per formula unit

a b c (Å): 4.741 4.741 11.244
angles (deg): 90.00 90.00 90.00
Atoms (fractional coordinates):
Ac 0.000 0.500 0.237
Ac 0.500 0.000 0.763
In 0.000 0.000 0.500
In 0.000 0.500 0.880
In 0.500 0.000 0.120
In 0.500 0.500 0.500
Cu 0.500 0.500 0.000
Au 0.000 0.000 0.000
Au 0.000 0.500 0.639
Au 0.500 0.000 0.361

---

## AcLaCuAu (PBE)

Data for AcLaCuAu after structural relaxation.

## Properties
**Density of states at the Fermi level**: 3.70 states/eV/cell
**Space group**: Amm2, No. 38
**ΔE to the lowest computed polymorph**: 0 meV/atom
**DFT total energy**: -4.5779 eV/atom
**Energy of formation from the pure elements**: -1.9 eV per formula unit

a b c (Å): 4.778 6.039 6.039
angles (deg): 40.47 90.00 90.00
Atoms (fractional coordinates):
Ac 0.000 0.000 0.000
La 0.500 0.722 0.722
Cu 0.000 0.284 0.284
Au 0.500 0.430 0.430

---

## AcLaCuAu (PBE)

Data for AcLaCuAu after structural relaxation.

## Properties
**Density of states at the Fermi level**: 2.83 states/eV/cell
**Space group**: F-43m, No. 216
**ΔE to the lowest computed polymorph**: 45 meV/atom
**DFT total energy**: -4.5326 eV/atom
**Energy of formation from the pure elements**: -1.7 eV per formula unit

a b c (Å): 5.377 5.377 5.377
angles (deg): 60.00 60.00 60.00
Atoms (fractional coordinates):
Ac 0.000 0.000 0.000
La 0.500 0.500 0.500
Cu 0.250 0.250 0.250
Au 0.750 0.750 0.750

---

## LiAc2CuAu6 (PBE)

Data for LiAc2CuAu6 after structural relaxation.

## Properties
**Density of states at the Fermi level**: 4.53 states/eV/cell
**Space group**: P-1, No. 2
**DFT total energy**: -3.9002 eV/atom
**Energy of formation from the pure elements**: -5.1 eV per formula unit

a b c (Å): 5.551 7.045 7.098
angles (deg): 84.73 67.04 66.80
Atoms (fractional coordinates):
Li 0.000 0.000 0.000
Ac 0.461 0.783 0.295
Ac 0.539 0.217 0.705
Cu 0.000 0.500 0.500
Au 0.004 0.238 0.253
Au 0.146 0.603 0.106
Au 0.496 0.761 0.747
Au 0.504 0.239 0.253
Au 0.854 0.397 0.894
Au 0.996 0.762 0.747

---

## AcLuCuAu (PBE)

Data for AcLuCuAu after structural relaxation.

## Properties
**Density of states at the Fermi level**: 3.83 states/eV/cell
**Space group**: F-43m, No. 216
**DFT total energy**: -4.4148 eV/atom
**Energy of formation from the pure elements**: -1.7 eV per formula unit

a b c (Å): 5.224 5.224 5.224
angles (deg): 60.00 60.00 60.00
Atoms (fractional coordinates):
Ac 0.000 0.000 0.000
Lu 0.500 0.500 0.500
Cu 0.250 0.250 0.250
Au 0.750 0.750 0.750

---

## Ac2MgCu3Au12 (PBE)

Data for Ac2MgCu3Au12 after structural relaxation.

## Properties
**Density of states at the Fermi level**: 7.31 states/eV/cell
**Space group**: R-3m, No. 166
**DFT total energy**: -3.5266 eV/atom
**Energy of formation from the pure elements**: -2.1 eV per formula unit

a b c (Å): 8.378 8.378 8.378
angles (deg): 61.47 61.47 61.47
Atoms (fractional coordinates):
Ac 0.114 0.114 0.114
Ac 0.886 0.886 0.886
Mg 0.500 0.500 0.500
Cu 0.000 0.500 0.500
Cu 0.500 0.000 0.500
Cu 0.500 0.500 0.000
Au 0.120 0.628 0.628
Au 0.139 0.139 0.615
Au 0.139 0.615 0.139
Au 0.372 0.372 0.880
Au 0.372 0.880 0.372
Au 0.385 0.861 0.861
Au 0.615 0.139 0.139
Au 0.628 0.120 0.628
Au 0.628 0.628 0.120
Au 0.861 0.385 0.861
Au 0.861 0.861 0.385
Au 0.880 0.372 0.372

---

## AcMg2CuAu4 (PBE)

Data for AcMg2CuAu4 after structural relaxation.

## Properties
**Density of states at the Fermi level**: 3.07 states/eV/cell
**Space group**: R-3m, No. 166
**DFT total energy**: -3.6073 eV/atom
**Energy of formation from the pure elements**: -4.4 eV per formula unit

a b c (Å): 9.627 9.627 9.627
angles (deg): 27.57 27.57 27.57
Atoms (fractional coordinates):
Ac 0.000 0.000 0.000
Mg 0.230 0.230 0.230
Mg 0.770 0.770 0.770
Cu 0.500 0.500 0.500
Au 0.130 0.130 0.130
Au 0.403 0.403 0.403
Au 0.597 0.597 0.597
Au 0.870 0.870 0.870